Crystalline NiSn4 at its relaxed geometry, computed with PBE.

The structure in CIF format:
```
data_NiSn4
_symmetry_space_group_name_H-M 'P 4/n b m'
_symmetry_Int_Tables_number 125
_cell_length_a 6.2954
_cell_length_b 6.2954
_cell_length_c 5.9524
_cell_angle_alpha 90.00
_cell_angle_beta 90.00
_cell_angle_gamma 90.00
loop_
_symmetry_equiv_pos_as_xyz
'x,y,z'
'-x,-y,-z'
'-y+1/2,x,z'
'y+1/2,-x,-z'
'-x+1/2,-y+1/2,z'
'x+1/2,y+1/2,-z'
'y,-x+1/2,z'
'-y,x+1/2,-z'
'x,-y+1/2,-z'
'-x,y+1/2,z'
'-y+1/2,-x+1/2,-z'
'y+1/2,x+1/2,z'
'-x+1/2,y,-z'
'x+1/2,-y,z'
'y,x,-z'
'-y,-x,z'
loop_
_atom_site_label
_atom_site_type_symbol
_atom_site_fract_x
_atom_site_fract_y
_atom_site_fract_z
Ni1 Ni 0.2500 0.2500 0.0000
Sn1 Sn 0.0604 0.5604 0.2538
```

Mass density, g/cm3: 7.5
Total moment, μB/f.u.: 0.00
Formation energy, eV per atom: -0.094